A plane-wave DFT calculation with GGA-PBE was carried out for a relaxed structure of Ta5Fe.

Calculated values
The value obtained for the total moment is 0.022 μB/atom. For the offset from the most stable computed form, the calculation gives 6 meV/atom. The calculation puts the formation energy at -0.036 eV/atom. The volume comes out at 16.95 A^3/atom. As for the space group: No. 12.

Cell lengths 3.257, 5.379, 6.434 Å; angles 72.15, 90.00, 107.62 degrees
Last column: magnetic moment on the atom in μB.
Atoms (fractional coordinates):
Fe: 0.028 0.056 0.944  0.45
Ta: 0.368 0.736 0.783  -0.05
Ta: 0.691 0.381 0.622  -0.05
Ta: 0.028 0.056 0.444  -0.02
Ta: 0.365 0.730 0.267  -0.05
Ta: 0.688 0.375 0.106  -0.05

---

A plane-wave DFT calculation with GGA-PBE was carried out for a relaxed structure of TaFe6.

Calculated values
The value obtained for the total moment is 0.000 μB/atom. For the offset from the most stable computed form, the calculation gives 0 meV/atom. The calculation puts the formation energy at 1.115 eV/atom. The volume comes out at 14.38 A^3/atom. As for the space group: No. 229.

Cell lengths 5.076, 5.076, 5.076 Å; angles 109.47, 109.47, 109.47 degrees
Atoms (fractional coordinates):
Ta: 0.000 0.000 0.000
Fe: 0.250 0.750 0.500
Fe: 0.500 0.750 0.250
Fe: 0.250 0.500 0.750
Fe: 0.750 0.250 0.500
Fe: 0.500 0.250 0.750
Fe: 0.750 0.500 0.250